Record 1
Hf2Ga4Au (PBE, optimized geometry); SG = I4/mmm (139); energy of formation from the pure elements = 278 meV/atom; crystal system = tetragonal
1.0
4.986 0.000 0.000
0.000 4.986 0.000
2.493 2.493 6.682
Hf Au Ga
2 1 4
direct
0.397 0.397 0.207
0.603 0.603 0.793
0.000 0.000 0.000
0.193 0.193 0.615
0.807 0.807 0.385
0.000 0.500 0.000
0.500 0.000 0.000

=====

Record 2
Ac2Al2Br (PBE, optimized geometry); SG = R-3m (166); crystal system = trigonal; formation energy without anion corrections = -828 meV/atom
1.0
4.233 -0.011 -1.385
-2.342 3.789 -0.027
0.673 0.486 9.222
Ac Al Br
2 2 1
direct
0.834 0.417 0.251
0.166 0.583 0.749
0.342 0.171 0.512
0.658 0.829 0.488
0.000 0.000 0.000

=====

Record 3
Ho4Tm3Pu (PBE, optimized geometry); SG = Immm (71); energy of formation from the pure elements = 153 meV/atom; crystal system = orthorhombic
1.0
3.295 0.000 -0.797
-1.174 10.265 -4.852
0.273 -2.377 8.332
Tm Ho Pu
3 4 1
direct
0.000 0.500 0.000
0.763 0.763 0.525
0.237 0.237 0.475
0.632 0.380 0.264
0.368 0.620 0.736
0.368 0.116 0.737
0.632 0.884 0.263
0.500 0.000 0.000

=====

What is the formula in the third record?
Ho4Tm3Pu